Entry 1:
# GGA-PBE BaLiTa, relaxed
# - space group = P6_3/mmc (194)
# - offset from the most stable computed form (meV per atom) = 914
data_BaLiTa
_chemical_formula_sum 'Ba4 Li4 Ta4'
_symmetry_space_group_name_H-M 'P 1'
_symmetry_Int_Tables_number 1
_cell_length_a 9.111
_cell_length_b 6.923
_cell_length_c 5.263
_cell_angle_alpha 90.00
_cell_angle_beta 90.00
_cell_angle_gamma 90.00
loop_
_symmetry_equiv_pos_as_xyz
'x,y,z'
loop_
_atom_site_label
_atom_site_type_symbol
_atom_site_fract_x
_atom_site_fract_y
_atom_site_fract_z
Li1 Li 0.667 0.250 0.000
Li2 Li 0.167 0.250 0.500
Li3 Li 0.333 0.750 0.000
Li4 Li 0.833 0.750 0.500
Ta1 Ta 0.166 0.750 0.500
Ta2 Ta 0.834 0.250 0.500
Ta3 Ta 0.334 0.250 0.000
Ta4 Ta 0.666 0.750 0.000
Ba1 Ba 0.000 0.500 0.000
Ba2 Ba 0.500 0.500 0.500
Ba3 Ba 0.000 0.000 0.000
Ba4 Ba 0.500 0.000 0.500

***

Entry 2:
# GGA-PBE Ba4LiTa, relaxed
# - space group = F-43m (216)
data_Ba4LiTa
_chemical_formula_sum 'Ba4 Li1 Ta1'
_symmetry_space_group_name_H-M 'P 1'
_symmetry_Int_Tables_number 1
_cell_length_a 7.297
_cell_length_b 7.297
_cell_length_c 7.297
_cell_angle_alpha 60.00
_cell_angle_beta 60.00
_cell_angle_gamma 60.00
loop_
_symmetry_equiv_pos_as_xyz
'x,y,z'
loop_
_atom_site_label
_atom_site_type_symbol
_atom_site_fract_x
_atom_site_fract_y
_atom_site_fract_z
Ba1 Ba 0.374 0.374 0.374
Ba2 Ba 0.374 0.878 0.374
Ba3 Ba 0.374 0.374 0.878
Ba4 Ba 0.878 0.374 0.374
Ta1 Ta 0.000 0.000 0.000
Li1 Li 0.750 0.750 0.750

***

Entry 3:
# GGA-PBE Ba2LiTa, relaxed
# - space group = I-42d (122)
# - offset from the most stable computed form (meV per atom) = 514
data_Ba2LiTa
_chemical_formula_sum 'Ba4 Li2 Ta2'
_symmetry_space_group_name_H-M 'P 1'
_symmetry_Int_Tables_number 1
_cell_length_a 4.904
_cell_length_b 4.904
_cell_length_c 11.871
_cell_angle_alpha 78.08
_cell_angle_beta 78.08
_cell_angle_gamma 90.00
loop_
_symmetry_equiv_pos_as_xyz
'x,y,z'
loop_
_atom_site_label
_atom_site_type_symbol
_atom_site_fract_x
_atom_site_fract_y
_atom_site_fract_z
Ta1 Ta 0.000 0.000 0.000
Ta2 Ta 0.750 0.250 0.500
Li1 Li 0.500 0.500 0.000
Li2 Li 0.250 0.750 0.500
Ba1 Ba 0.626 0.125 0.250
Ba2 Ba 0.375 0.374 0.750
Ba3 Ba 0.875 0.876 0.750
Ba4 Ba 0.124 0.625 0.250

***

Entry 4:
# GGA-PBE BaLiTa, relaxed
# - space group = F-43m (216)
# - offset from the most stable computed form (meV per atom) = 1407
data_BaLiTa
_chemical_formula_sum 'Ba1 Li1 Ta1'
_symmetry_space_group_name_H-M 'P 1'
_symmetry_Int_Tables_number 1
_cell_length_a 4.980
_cell_length_b 4.980
_cell_length_c 4.980
_cell_angle_alpha 60.00
_cell_angle_beta 60.00
_cell_angle_gamma 60.00
loop_
_symmetry_equiv_pos_as_xyz
'x,y,z'
loop_
_atom_site_label
_atom_site_type_symbol
_atom_site_fract_x
_atom_site_fract_y
_atom_site_fract_z
Ta1 Ta 0.750 0.750 0.750
Li1 Li 0.250 0.250 0.250
Ba1 Ba 0.000 0.000 0.000

***

What did we get for electronic total energy? Answer: -3.89, -2.48, -3.11, -3.39 eV per atom, in the order shown.
What did we get for calculated formation energy? Answer: 1342.6, 1098.1, 1295.6, 1836.0 meV/atom, in the order shown.